[1]
TiHgS2 | the Alexandria database | PBE | relaxed; final energy = -0.18693 Ha/atom; SG = P1
1.0
-8.483 -4.485 -2.021
1.186 -0.840 -3.080
0.232 -5.660 1.633
S Hg Ti
4 2 2
direct
0.649 0.291 0.264
0.338 0.789 0.277
0.338 0.289 0.777
0.649 0.791 0.764
0.993 0.068 0.019
0.993 0.047 0.519
0.493 0.792 0.520
0.493 0.287 0.020

***

[2]
TiHg3S | the Alexandria database | PBE | relaxed; final energy = -0.06503 Ha/atom; SG = Pm-3m; offset from the most stable computed form = 0.42 eV/f.u.
1.0
5.197 0.000 0.000
0.000 5.197 0.000
0.000 0.000 5.197
S Hg Ti
1 3 1
direct
0.000 0.000 0.000
0.000 0.500 0.000
0.000 0.000 0.500
0.500 0.000 0.000
0.500 0.500 0.500

***

[3]
TiHg2S | the Alexandria database | PBE | relaxed; final energy = -0.11393 Ha/atom; SG = I-42d
1.0
8.102 0.000 0.000
0.000 8.102 0.000
4.051 4.051 2.664
S Hg Ti
2 4 2
direct
0.500 0.500 0.000
0.250 0.750 0.500
0.616 0.125 0.250
0.134 0.625 0.250
0.375 0.384 0.750
0.875 0.866 0.750
0.000 0.000 0.000
0.750 0.250 0.500

***

[4]
Ti2Hg2S | the Alexandria database | PBE | relaxed; final energy = -0.16755 Ha/atom; SG = P4/mbm
1.0
-5.561 3.005 -0.084
-2.595 -4.708 3.326
1.156 2.255 4.093
S Hg Ti
2 4 4
direct
0.000 0.000 0.000
0.500 0.500 0.000
0.160 0.660 0.500
0.660 0.840 0.500
0.840 0.340 0.500
0.340 0.160 0.500
0.335 0.835 0.000
0.835 0.665 0.000
0.665 0.165 0.000
0.165 0.335 0.000

***

[5]
TiHg4S2 | the Alexandria database | PBE | relaxed; final energy = -0.07547 Ha/atom; SG = I4/mmm
1.0
-2.734 -2.853 3.786
4.738 -1.809 2.058
1.220 2.937 7.050
S Hg Ti
2 4 1
direct
0.609 0.609 0.782
0.391 0.391 0.218
0.795 0.795 0.409
0.205 0.205 0.591
0.000 0.500 0.000
0.500 0.000 0.000
0.000 0.000 0.000

***

[6]
Ti3HgS | the Alexandria database | PBE | relaxed; final energy = -0.22179 Ha/atom; SG = Pm-3m; offset from the most stable computed form = 0.00 eV/f.u.
1.0
4.510 0.000 0.000
0.000 4.510 0.000
0.000 0.000 4.510
S Hg Ti
1 1 3
direct
0.000 0.000 0.000
0.500 0.500 0.500
0.000 0.500 0.000
0.000 0.000 0.500
0.500 0.000 0.000

***

no.,uncorrected formation energy (meV/atom)
1,-973.6
2,815.9
3,56.3
4,-455.0
5,426.0
6,-412.4